(1)
Here is a relaxed structure of VPtAu2 from Alexandria. Energies are from PBE.

Cell: 5.8720 5.8720 5.8720 Å, 102.03 102.03 125.67°
Closest atoms and distances in Å follow each position.
Atoms (fractional coordinates):
V: 0.0000 0.0000 0.0000  4 Au 2.66, 2 Pt 2.68
V: 0.7500 0.2500 0.5000  4 Au 2.66, 2 Pt 2.68
Pt: 0.2500 0.7500 0.5000  2 V 2.68, 4 Au 2.73
Pt: 0.5000 0.5000 0.0000  2 V 2.68, 4 Au 2.73
Au: 0.1179 0.1250 0.4929  2 V 2.66, 2 Au 2.68, 2 Pt 2.73
Au: 0.3750 0.8821 0.0071  2 V 2.66, 2 Au 2.68, 2 Pt 2.73
Au: 0.6321 0.6250 0.5071  2 V 2.66, 2 Au 2.68, 2 Pt 2.73
Au: 0.8750 0.3679 0.9929  2 V 2.66, 2 Au 2.68, 2 Pt 2.73

Summary:
For the total magnetic moment, the calculation gives 2.62 μB/f.u. The symmetry is I-42d (122). Its total DFT energy (no corrections) is -40.84 eV per cell.



(2)
Here is a relaxed structure of V2Pt2Au from Alexandria. Energies are from PBE.

Cell: 7.5546 7.5546 2.7351 Å, 90.00 90.00 90.00°
Closest atoms and distances in Å follow each position.
Atoms (fractional coordinates):
V: 0.1669 0.3331 0.0000  6 Pt 2.57-2.64, 2 V 2.74
V: 0.3331 0.8331 0.0000  6 Pt 2.57-2.64, 2 V 2.74
V: 0.6669 0.1669 0.0000  6 Pt 2.57-2.64, 2 V 2.74
V: 0.8331 0.6669 0.0000  6 Pt 2.57-2.64, 2 V 2.74
Pt: 0.1289 0.6289 0.5000  6 V 2.57-2.64, 3 Pt 2.74-2.75
Pt: 0.3711 0.1289 0.5000  6 V 2.57-2.64, 3 Pt 2.74-2.75
Pt: 0.6289 0.8711 0.5000  6 V 2.57-2.64, 3 Pt 2.74-2.75
Pt: 0.8711 0.3711 0.5000  6 V 2.57-2.64, 3 Pt 2.74-2.75
Au: 0.0000 0.0000 0.5000  2 Au 2.74, 4 Pt 2.97
Au: 0.5000 0.5000 0.5000  2 Au 2.74, 4 Pt 2.97

Summary:
For the total magnetic moment, the calculation gives 0.00 μB/f.u. The symmetry is P4/mbm (127). Its total DFT energy (no corrections) is -70.73 eV per cell.



(3)
Here is a relaxed structure of V3PtAu from Alexandria. Energies are from PBE.

Cell: 4.7487 4.7487 4.7487 Å, 90.00 90.00 90.00°
Closest atoms and distances in Å follow each position.
Atoms (fractional coordinates):
V: 0.0000 0.0000 0.5000  2 Pt 2.37
V: 0.0000 0.5000 0.0000  2 Pt 2.37
V: 0.5000 0.0000 0.0000  2 Pt 2.37
Pt: 0.0000 0.0000 0.0000  6 V 2.37
Au: 0.5000 0.5000 0.5000  12 V 3.36

Summary:
For the total magnetic moment, the calculation gives 6.77 μB/f.u. The symmetry is Pm-3m (221). Its total DFT energy (no corrections) is -31.81 eV per cell.



(4)
Here is a relaxed structure of V2PtAu from Alexandria. Energies are from PBE.

Cell: 3.8451 3.8451 4.0263 Å, 90.00 90.00 90.00°
Closest atoms and distances in Å follow each position.
Atoms (fractional coordinates):
V: 0.0000 0.5000 0.0000  4 V 2.72, 4 Pt 2.78, 4 Au 2.78
V: 0.5000 0.0000 0.0000  4 V 2.72, 4 Pt 2.78, 4 Au 2.78
Pt: 0.0000 0.0000 0.5000  4 Au 2.72, 8 V 2.78
Au: 0.5000 0.5000 0.5000  4 Pt 2.72, 8 V 2.78

Summary:
For the total magnetic moment, the calculation gives 0.00 μB/f.u. The symmetry is P4/mmm (123). Its total DFT energy (no corrections) is -28.40 eV per cell.



(5)
Here is a relaxed structure of V2Pt9Au from Alexandria. Energies are from PBE.

Cell: 3.9423 3.9423 11.8970 Å, 90.00 90.00 90.00°
Closest atoms and distances in Å follow each position.
Atoms (fractional coordinates):
V: 0.0000 0.0000 0.1719  12 Pt 2.65-2.84
V: 0.0000 0.0000 0.8281  12 Pt 2.65-2.84
Pt: 0.0000 0.5000 0.0000  8 Pt 2.75-2.79, 4 V 2.84
Pt: 0.0000 0.5000 0.3206  2 V 2.65, 8 Pt 2.74-2.91, 2 Au 2.91
Pt: 0.0000 0.5000 0.6794  2 V 2.65, 8 Pt 2.74-2.91, 2 Au 2.91
Pt: 0.5000 0.0000 0.0000  8 Pt 2.75-2.79, 4 V 2.84
Pt: 0.5000 0.0000 0.3206  2 V 2.65, 8 Pt 2.74-2.91, 2 Au 2.91
Pt: 0.5000 0.0000 0.6794  2 V 2.65, 8 Pt 2.74-2.91, 2 Au 2.91
Pt: 0.5000 0.5000 0.1606  8 Pt 2.74-2.75, 4 V 2.79
Pt: 0.5000 0.5000 0.5000  4 Au 2.79, 8 Pt 2.91
Pt: 0.5000 0.5000 0.8394  8 Pt 2.74-2.75, 4 V 2.79
Au: 0.0000 0.0000 0.5000  12 Pt 2.79-2.91

Summary:
For the total magnetic moment, the calculation gives 0.73 μB/f.u. The symmetry is P4/mmm (123). Its total DFT energy (no corrections) is -79.91 eV per cell.



(6)
Here is a relaxed structure of VPtAu3 from Alexandria. Energies are from PBE.

Cell: 5.0390 5.0390 5.0390 Å, 90.00 90.00 90.00°
Closest atoms and distances in Å follow each position.
Atoms (fractional coordinates):
V: 0.0000 0.0000 0.0000  12 Au 3.56
Pt: 0.5000 0.5000 0.5000  6 Au 2.52
Au: 0.0000 0.5000 0.5000  2 Pt 2.52
Au: 0.5000 0.0000 0.5000  2 Pt 2.52
Au: 0.5000 0.5000 0.0000  2 Pt 2.52

Summary:
For the total magnetic moment, the calculation gives 3.32 μB/f.u. The symmetry is Pm-3m (221). Its total DFT energy (no corrections) is -19.94 eV per cell.